[1]
# Al3ZnHg

A crystal of Al3ZnHg relaxed with PBEsol (meta-GGA SCAN, Alexandria).

Values from the calculation:
size of the total moment = 0.0 μB per cell
ΔH_f (0 K) = 0.4559 eV/atom

abc: 4.7392 4.7392 4.7392
angles: 90.00 90.00 90.00
Sites, in units of the cell vectors:
Al 0.0000 0.0000 0.5000
Al 0.5000 0.0000 0.0000
Al 0.0000 0.5000 0.0000
Zn 0.0000 0.0000 0.0000
Hg 0.5000 0.5000 0.5000

[2]
# ReSe2BrF

A crystal of ReSe2BrF relaxed with PBEsol (meta-GGA SCAN, Alexandria).

Values from the calculation:
size of the total moment = 0.0 μB per cell
uncorrected formation energy = 0.251 eV/atom

abc: 4.7152 4.7152 5.0537
angles: 90.00 90.00 90.00
Sites, in units of the cell vectors:
Br 0.0000 0.0000 0.5000
Re 0.0000 0.0000 0.0000
Se 0.0000 0.5000 0.0000
F 0.5000 0.5000 0.5000
Se 0.5000 0.0000 0.0000

[3]
# LaW2Br2

A crystal of LaW2Br2 relaxed with PBEsol (meta-GGA SCAN, Alexandria).

Values from the calculation:
size of the total moment = 0.0 μB per cell
uncorrected formation energy = 0.564 eV/atom

abc: 4.6433 4.6433 5.9774
angles: 112.86 112.86 90.00
Sites, in units of the cell vectors:
Br 0.2500 0.7500 0.5000
W 0.3850 0.3850 0.7700
Br 0.7500 0.2500 0.5000
La 0.0000 0.0000 0.0000
W 0.6150 0.6150 0.2300

[4]
# BaSi2P

A crystal of BaSi2P relaxed with PBEsol (meta-GGA SCAN, Alexandria).

Values from the calculation:
size of the total moment = 0.0 μB per cell
uncorrected formation energy = 0.117 eV/atom

abc: 3.3448 5.5864 5.7127
angles: 119.27 107.02 90.00
Sites, in units of the cell vectors:
Ba 0.5000 0.0000 0.0000
P 0.0000 0.5000 0.0000
Si 0.3098 0.3098 0.6196
Si 0.6902 0.6902 0.3804

[5]
# LiYReTc2

A crystal of LiYReTc2 relaxed with PBEsol (meta-GGA SCAN, Alexandria).

Values from the calculation:
size of the total moment = 1.9 μB per cell
ΔH_f (0 K) = 0.9354 eV/atom

abc: 4.6649 4.6649 5.3006
angles: 90.00 90.00 90.00
Last column: magnetic moment on the atom in μB.
Sites, in units of the cell vectors:
Y 0.0000 0.0000 0.5000  -0.06
Re 0.0000 0.0000 0.0000  -0.07
Tc 0.5000 0.0000 0.0000  0.95
Tc 0.0000 0.5000 0.0000  0.95
Li 0.5000 0.5000 0.5000  -0.01

[6]
# AgMoRu2

A crystal of AgMoRu2 relaxed with PBEsol (meta-GGA SCAN, Alexandria).

Values from the calculation:
energy relative to the lowest polymorph listed for this composition = 129 meV/atom
size of the total moment = 1.7 μB per cell
ΔH_f (0 K) = 0.5036 eV/atom

abc: 2.6429 2.6429 9.3599
angles: 90.00 90.00 115.00
Last column: magnetic moment on the atom in μB.
Sites, in units of the cell vectors:
Ru 0.5000 0.5000 0.7631  1.01
Ag 0.0000 0.0000 0.5026  0.01
Ru 0.0000 0.0000 0.9985  0.73
Mo 0.5000 0.5000 0.2358  -0.02

[7]
# CaNdAl3O7

A crystal of CaNdAl3O7 relaxed with PBEsol (meta-GGA SCAN, Alexandria).

Values from the calculation:
size of the total moment = 0.0 μB per cell
uncorrected formation energy = -3.465 eV/atom

abc: 5.0977 7.7500 7.7500
angles: 90.98 90.00 90.00
Sites, in units of the cell vectors:
O 0.7968 0.0878 0.3373
O 0.7968 0.3373 0.0878
Nd 0.4909 0.8380 0.1620
O 0.3021 0.8629 0.8629
Al 0.0423 0.3578 0.6422
O 0.1975 0.4050 0.8418
O 0.1898 0.5000 0.5000
O 0.7016 0.3555 0.6445
O 0.7968 0.9122 0.6627
O 0.7968 0.6627 0.9122
O 0.1975 0.5950 0.1582
O 0.1975 0.1582 0.5950
O 0.7016 0.6445 0.3555
Al 0.0423 0.6422 0.3578
Nd 0.4909 0.1620 0.8380
Al 0.9938 0.0000 0.5000
Al 0.9938 0.5000 0.0000
O 0.8134 0.0000 0.0000
Al 0.9608 0.1463 0.1463
O 0.3021 0.1371 0.1371
Al 0.9608 0.8537 0.8537
O 0.1975 0.8418 0.4050
Ca 0.5184 0.3412 0.3412
Ca 0.5184 0.6588 0.6588

[8]
# BiAsH3

A crystal of BiAsH3 relaxed with PBEsol (meta-GGA SCAN, Alexandria).

Values from the calculation:
size of the total moment = 1.7 μB per cell
DFT total energy = -104.1 eV/cell

abc: 4.0617 4.0617 4.0617
angles: 90.00 90.00 90.00
Last column: magnetic moment on the atom in μB.
Sites, in units of the cell vectors:
Bi 0.0000 0.0000 0.0000  0.03
As 0.5000 0.5000 0.5000  -0.78
H 0.5000 0.0000 0.0000  -0.03
H 0.0000 0.0000 0.5000  -0.03
H 0.0000 0.5000 0.0000  -0.03

[9]
# SrTa2Mo

A crystal of SrTa2Mo relaxed with PBEsol (meta-GGA SCAN, Alexandria).

Values from the calculation:
energy relative to the lowest polymorph listed for this composition = 512 meV/atom
size of the total moment = 0.0 μB per cell
ΔH_f (0 K) = 1.1130 eV/atom

abc: 2.7285 5.7453 5.7453
angles: 119.52 90.00 90.00
Sites, in units of the cell vectors:
Mo 0.5000 0.0000 0.0000
Sr 0.5000 0.5000 0.5000
Ta 0.0000 0.5000 0.0000
Ta 0.0000 0.0000 0.5000

[10]
# BeInGaSn2

A crystal of BeInGaSn2 relaxed with PBEsol (meta-GGA SCAN, Alexandria).

Values from the calculation:
size of the total moment = 0.0 μB per cell
ΔH_f (0 K) = 1.1395 eV/atom

abc: 5.0633 5.5303 5.5303
angles: 90.00 90.00 90.00
Sites, in units of the cell vectors:
Sn 0.0000 0.5000 0.0000
Be 0.5000 0.5000 0.5000
Sn 0.0000 0.0000 0.5000
In 0.0000 0.0000 0.0000
Ga 0.5000 0.0000 0.0000

[11]
# Si2Pt

A crystal of Si2Pt relaxed with PBEsol (meta-GGA SCAN, Alexandria).

Values from the calculation:
size of the total moment = 0.0 μB per cell
uncorrected formation energy = -0.081 eV/atom

abc: 2.9401 2.9401 10.6591
angles: 97.93 97.93 90.00
Sites, in units of the cell vectors:
Pt 0.2500 0.7500 0.5000
Si 0.5750 0.5750 0.1501
Si 0.8250 0.3250 0.6501
Pt 0.0000 0.0000 0.0000
Si 0.4250 0.4250 0.8499
Si 0.6750 0.1750 0.3499

[12]
# Cs3Er2Br9

A crystal of Cs3Er2Br9 relaxed with PBEsol (meta-GGA SCAN, Alexandria).

Values from the calculation:
size of the total moment = 0.0 μB per cell
uncorrected formation energy = -2.109 eV/atom

abc: 10.0536 10.0536 10.0536
angles: 83.69 83.69 83.69
Sites, in units of the cell vectors:
Br 0.0811 0.2659 0.9144
Er 0.1513 0.1513 0.1513
Br 0.4080 0.2500 0.0920
Cs 0.9116 0.2500 0.5884
Br 0.7500 0.9080 0.5920
Br 0.5856 0.2341 0.4189
Br 0.2659 0.9144 0.0811
Br 0.9144 0.0811 0.2659
Br 0.5811 0.4144 0.7659
Er 0.3487 0.3487 0.3487
Br 0.0920 0.4080 0.2500
Br 0.7341 0.0856 0.9189
Br 0.7659 0.5811 0.4144
Br 0.0856 0.9189 0.7341
Br 0.5920 0.7500 0.9080
Cs 0.0884 0.7500 0.4116
Br 0.2341 0.4189 0.5856
Br 0.4144 0.7659 0.5811
Cs 0.7500 0.4116 0.0884
Br 0.2500 0.0920 0.4080
Cs 0.5884 0.9116 0.2500
Er 0.6513 0.6513 0.6513
Br 0.4189 0.5856 0.2341
Cs 0.4116 0.0884 0.7500
Br 0.9189 0.7341 0.0856
Cs 0.2500 0.5884 0.9116
Br 0.9080 0.5920 0.7500
Er 0.8487 0.8487 0.8487

[13]
# Ho3Ge13Rh4

A crystal of Ho3Ge13Rh4 relaxed with PBEsol (meta-GGA SCAN, Alexandria).

Values from the calculation:
size of the total moment = 0.0 μB per cell
ΔH_f (0 K) = -0.6306 eV/atom

abc: 8.8697 8.8697 8.8697
angles: 90.00 90.00 90.00
Sites, in units of the cell vectors:
Ge 0.5000 0.8102 0.6467
Ge 0.3102 0.0000 0.8533
Ge 0.5000 0.1898 0.6467
Ge 0.5000 0.1898 0.3533
Ge 0.5000 0.5000 0.5000
Rh 0.7500 0.2500 0.2500
Ho 0.2500 0.0000 0.5000
Ge 0.0000 0.1467 0.6898
Ge 0.3533 0.5000 0.8102
Ge 0.3102 0.0000 0.1467
Rh 0.2500 0.2500 0.2500
Ge 0.0000 0.8533 0.6898
Rh 0.7500 0.2500 0.7500
Rh 0.2500 0.7500 0.7500
Ge 0.0000 0.8533 0.3102
Ho 0.5000 0.7500 0.0000
Ge 0.0000 0.1467 0.3102
Ge 0.8102 0.6467 0.5000
Ge 0.1898 0.3533 0.5000
Rh 0.7500 0.7500 0.2500
Ge 0.1467 0.3102 0.0000
Ho 0.0000 0.5000 0.7500
Ge 0.5000 0.8102 0.3533
Ge 0.6898 0.0000 0.8533
Rh 0.2500 0.7500 0.2500
Ho 0.5000 0.2500 0.0000
Ge 0.3533 0.5000 0.1898
Rh 0.2500 0.2500 0.7500
Ge 0.8533 0.6898 0.0000
Ge 0.6467 0.5000 0.1898
Ge 0.6898 0.0000 0.1467
Ge 0.8102 0.3533 0.5000
Rh 0.7500 0.7500 0.7500
Ge 0.0000 0.0000 0.0000
Ge 0.1467 0.6898 0.0000
Ge 0.8533 0.3102 0.0000
Ge 0.6467 0.5000 0.8102
Ho 0.0000 0.5000 0.2500
Ge 0.1898 0.6467 0.5000
Ho 0.7500 0.0000 0.5000

[14]
# InNi

A crystal of InNi relaxed with PBEsol (meta-GGA SCAN, Alexandria).

Values from the calculation:
size of the total moment = 0.0 μB per cell
ΔH_f (0 K) = -0.1846 eV/atom

abc: 4.3029 5.1917 5.1917
angles: 120.00 90.00 90.00
Sites, in units of the cell vectors:
Ni 0.0000 0.5000 0.0000
Ni 0.0000 0.5000 0.5000
Ni 0.0000 0.0000 0.5000
In 0.5000 0.3333 0.6667
In 0.5000 0.6667 0.3333
In 0.0000 0.0000 0.0000

[15]
# Zr2TcSe

A crystal of Zr2TcSe relaxed with PBEsol (meta-GGA SCAN, Alexandria).

Values from the calculation:
size of the total moment = 0.0 μB per cell
uncorrected formation energy = -0.524 eV/atom

abc: 3.7497 3.7497 5.5860
angles: 90.00 90.00 90.00
Sites, in units of the cell vectors:
Se 0.0000 0.0000 0.4305
Zr 0.5000 0.5000 0.2923
Zr 0.0000 0.0000 0.9223
Tc 0.5000 0.5000 0.8549

[16]
# Be2AgSb

A crystal of Be2AgSb relaxed with PBEsol (meta-GGA SCAN, Alexandria).

Values from the calculation:
size of the total moment = 0.0 μB per cell
uncorrected formation energy = 0.720 eV/atom

abc: 4.5180 4.5180 4.5180
angles: 60.00 60.00 60.00
Sites, in units of the cell vectors:
Sb 0.2500 0.2500 0.2500
Ag 0.5000 0.5000 0.5000
Be 0.7500 0.7500 0.7500
Be 0.0000 0.0000 0.0000

[17]
# LiZrSc2

A crystal of LiZrSc2 relaxed with PBEsol (meta-GGA SCAN, Alexandria).

Values from the calculation:
energy relative to the lowest polymorph listed for this composition = 182 meV/atom
size of the total moment = 2.0 μB per cell
ΔH_f (0 K) = 0.2551 eV/atom

abc: 4.4856 4.4856 5.3031
angles: 115.02 115.02 90.00
Last column: magnetic moment on the atom in μB.
Sites, in units of the cell vectors:
Sc 0.2500 0.7500 0.5000  0.28
Zr 0.0000 0.0000 0.0000  0.74
Sc 0.7500 0.2500 0.5000  0.28
Li 0.5000 0.5000 0.0000  0.00

[18]
# TlHPd2

A crystal of TlHPd2 relaxed with PBEsol (meta-GGA SCAN, Alexandria).

Values from the calculation:
size of the total moment = 0.0 μB per cell
DFT total energy = -283.8 eV/cell

abc: 5.2366 5.2366 5.2366
angles: 110.63 108.89 108.89
Sites, in units of the cell vectors:
Pd 0.3771 0.5021 0.6250
H 0.5000 0.2500 0.7500
Pd 0.8771 0.3750 0.7521
Tl 0.5000 0.7500 0.2500
Pd 0.1229 0.8750 0.4979
H 0.0000 0.5000 0.5000
Tl 0.0000 0.0000 0.0000
Pd 0.6229 0.2479 0.1250

[19]
# HgTe2Pb

A crystal of HgTe2Pb relaxed with PBEsol (meta-GGA SCAN, Alexandria).

Values from the calculation:
size of the total moment = 0.0 μB per cell
uncorrected formation energy = -0.136 eV/atom

abc: 4.2933 4.4167 7.2162
angles: 90.21 107.31 90.00
Sites, in units of the cell vectors:
Hg 0.4576 0.5767 0.9152
Te 0.0415 0.9014 0.0830
Pb 0.7143 0.7569 0.4285
Te 0.2867 0.2650 0.5733

[20]
# HfSc2NbPb

A crystal of HfSc2NbPb relaxed with PBEsol (meta-GGA SCAN, Alexandria).

Values from the calculation:
size of the total moment = 3.2 μB per cell
ΔH_f (0 K) = 1.1219 eV/atom

abc: 4.9677 4.9677 5.4016
angles: 90.00 90.00 90.00
Last column: magnetic moment on the atom in μB.
Sites, in units of the cell vectors:
Pb 0.0000 0.0000 0.5000  -0.02
Sc 0.5000 0.0000 0.0000  0.04
Hf 0.0000 0.0000 0.0000  -0.10
Nb 0.5000 0.5000 0.5000  2.27
Sc 0.0000 0.5000 0.0000  0.04

[21]
# Mg2InCl

A crystal of Mg2InCl relaxed with PBEsol (meta-GGA SCAN, Alexandria).

Values from the calculation:
energy relative to the lowest polymorph listed for this composition = 56 meV/atom
size of the total moment = 0.0 μB per cell
uncorrected formation energy = -0.480 eV/atom

abc: 3.1893 5.2545 5.2545
angles: 90.00 90.00 90.00
Sites, in units of the cell vectors:
Mg 0.0000 0.5000 0.0000
In 0.5000 0.0000 0.0000
Mg 0.0000 0.0000 0.5000
Cl 0.5000 0.5000 0.5000

[22]
# CaSiRuRh2

A crystal of CaSiRuRh2 relaxed with PBEsol (meta-GGA SCAN, Alexandria).

Values from the calculation:
size of the total moment = 2.6 μB per cell
uncorrected formation energy = 0.549 eV/atom

abc: 4.3136 4.3136 5.0341
angles: 90.00 90.00 90.00
Last column: magnetic moment on the atom in μB.
Sites, in units of the cell vectors:
Si 0.0000 0.0000 0.0000  -0.01
Ru 0.5000 0.5000 0.5000  2.34
Ca 0.0000 0.0000 0.5000  -0.07
Rh 0.5000 0.0000 0.0000  0.28
Rh 0.0000 0.5000 0.0000  0.28

[23]
# HfCoP

A crystal of HfCoP relaxed with PBEsol (meta-GGA SCAN, Alexandria).

Values from the calculation:
size of the total moment = 0.0 μB per cell
ΔH_f (0 K) = -1.1121 eV/atom

abc: 3.6330 6.2044 7.0104
angles: 90.00 90.00 90.00
Sites, in units of the cell vectors:
P 0.2500 0.7730 0.3847
Hf 0.7500 0.4799 0.3171
P 0.7500 0.2270 0.6153
Co 0.7500 0.8609 0.5620
Co 0.7500 0.3609 0.9380
P 0.7500 0.7270 0.8847
Hf 0.7500 0.9799 0.1829
Co 0.2500 0.1391 0.4380
Hf 0.2500 0.0201 0.8171
Hf 0.2500 0.5201 0.6829
P 0.2500 0.2730 0.1153
Co 0.2500 0.6391 0.0620

[24]
# BaNiO3

A crystal of BaNiO3 relaxed with PBEsol (meta-GGA SCAN, Alexandria).

Values from the calculation:
size of the total moment = 0.0 μB per cell
uncorrected formation energy = -2.003 eV/atom

abc: 4.7784 5.6135 5.6135
angles: 120.00 90.00 90.00
Sites, in units of the cell vectors:
O 0.2500 0.1481 0.2962
O 0.7500 0.2962 0.1481
Ba 0.2500 0.6667 0.3333
O 0.7500 0.8519 0.1481
Ba 0.7500 0.3333 0.6667
Ni 0.0000 0.0000 0.0000
O 0.7500 0.8519 0.7038
O 0.2500 0.1481 0.8519
Ni 0.5000 0.0000 0.0000
O 0.2500 0.7038 0.8519